No. 1
Here is a geometry-optimized SrCa2Cd2 structure from the Alexandria database. Energies are from PBE.

The structure in POSCAR format:
```
SrCa2Cd2
1.0
-3.374 0.833 -3.201
-3.599 -3.654 2.843
-3.469 10.860 6.481
Cd Ca Sr
4 4 2
Cartesian
-5.946 4.395 5.667
-5.530 9.477 6.550
-4.496 3.643 0.456
-4.913 -1.439 -0.427
-6.908 3.188 2.879
-3.535 4.851 3.244
-3.459 1.223 -1.267
-6.984 6.815 7.390
-6.298 7.750 3.424
-4.144 0.288 2.700
```

Computed properties:
- formation energy from the elements (meV/atom) = -193
- excess energy over the best structure of this formula in the dataset (meV/atom) = 76
- calculated volume (Å³ per cell) = 361

***

No. 2
Here is a geometry-optimized OsWCl2 structure from the Alexandria database. Energies are from PBE.

The structure in POSCAR format:
```
OsWCl2
1.0
-1.043 1.930 1.970
-0.841 -2.229 1.738
7.750 0.156 3.949
W Cl Os
1 2 1
Cartesian
4.660 -0.037 4.709
7.119 0.143 3.628
1.579 -0.099 3.139
4.134 0.083 2.107
```

Computed properties:
- raw formation energy (kcal/mol of atoms) = 2.27
- excess energy over the best structure of this formula in the dataset (meV/atom) = 220
- calculated volume (Å³ per cell) = 76

***

No. 3
Here is a geometry-optimized VCu2Br4 structure from the Alexandria database. Energies are from PBE.

The structure in POSCAR format:
```
VCu2Br4
1.0
-2.424 3.034 4.254
-5.216 -1.137 -2.161
3.529 -5.592 2.099
V Cu Br
1 2 4
Cartesian
-3.820 0.948 1.046
-1.357 -0.805 3.700
-2.754 -2.890 0.492
1.753 -3.967 1.816
-4.613 -1.294 0.181
-3.173 0.858 3.491
-2.189 -2.988 2.896
```

Computed properties:
- raw formation energy (kcal/mol of atoms) = -7.65
- calculated volume (Å³ per cell) = 186

***

No. 4
Here is a geometry-optimized Ho3Mg2Ag3 structure from the Alexandria database. Energies are from PBE.

The structure in POSCAR format:
```
Ho3Mg2Ag3
1.0
3.524 0.000 0.000
0.000 5.185 0.000
-1.762 -2.593 10.314
Ho Ag Mg
3 3 2
Cartesian
0.000 0.000 7.765
1.762 2.593 2.548
1.762 0.000 0.000
0.000 0.000 2.593
0.000 2.593 0.000
1.762 2.593 7.721
1.762 0.000 4.854
0.000 2.593 5.459
```

Computed properties:
- formation energy from the elements (meV/atom) = -229
- calculated volume (Å³ per cell) = 188

***

No. 5
Here is a geometry-optimized K2Pa3InO12 structure from the Alexandria database. Energies are from PBE.

The structure in POSCAR format:
```
K2Pa3InO12
1.0
-6.529 -4.149 1.464
0.866 -7.224 3.009
-2.023 -1.081 7.532
O K In Pa
12 2 1 3
Cartesian
-5.828 -3.883 6.292
-6.624 -6.589 4.717
0.026 -5.258 2.640
-1.749 -1.485 5.418
-7.711 -7.196 9.366
-3.720 -4.612 8.628
-1.857 -8.571 5.713
-3.169 -9.085 10.315
-5.937 -10.969 6.588
-1.061 -5.865 7.288
-3.966 -7.843 3.377
-4.517 -3.369 1.691
-5.162 -8.365 8.064
-2.523 -4.089 3.942
0.000 0.000 0.000
-1.012 -0.541 3.766
-3.264 -2.075 0.732
0.433 -3.612 1.505
```

Computed properties:
- raw formation energy (kcal/mol of atoms) = -55.16
- calculated volume (Å³ per cell) = 364

***

No. 6
Here is a geometry-optimized Ba2NaSnTe4 structure from the Alexandria database. Energies are from PBE.

The structure in POSCAR format:
```
Ba2NaSnTe4
1.0
9.489 0.069 -0.161
0.062 9.489 -0.161
-4.834 -4.837 6.921
Sn Te Na Ba
2 8 2 4
Cartesian
2.359 2.360 3.299
4.655 -4.768 6.760
4.720 4.559 3.375
2.521 2.357 6.523
4.640 0.202 3.383
7.329 2.349 -0.077
-0.003 0.162 3.224
2.197 2.363 0.075
-2.612 2.372 6.676
0.077 4.518 3.215
7.103 2.395 3.219
0.031 4.744 -0.081
2.327 -2.384 3.380
4.776 4.779 -0.161
-2.417 -2.419 3.461
4.744 0.035 -0.081
```

Computed properties:
- raw formation energy (kcal/mol of atoms) = -23.77
- calculated volume (Å³ per cell) = 608

***

No. 7
Here is a geometry-optimized GaSi2MoAu structure from the Alexandria database. Energies are from PBE.

The structure in POSCAR format:
```
GaSi2MoAu
1.0
4.602 0.000 0.000
0.000 4.852 0.000
0.000 0.000 4.602
Au Ga Si Mo
1 1 2 1
Cartesian
2.301 2.426 2.301
0.000 0.000 0.000
0.000 0.000 2.301
2.301 0.000 0.000
0.000 2.426 0.000
```

Computed properties:
- raw formation energy (kcal/mol of atoms) = 28.75
- calculated volume (Å³ per cell) = 103

***

No. 8
Here is a geometry-optimized Ba2CaTlO structure from the Alexandria database. Energies are from PBE.

The structure in POSCAR format:
```
Ba2CaTlO
1.0
5.810 0.000 0.000
0.000 5.810 0.000
0.000 0.000 4.641
Ba O Ca Tl
2 1 1 1
Cartesian
0.000 2.905 0.000
2.905 0.000 0.000
0.000 0.000 0.000
0.000 0.000 2.320
2.905 2.905 2.320
```

Computed properties:
- raw formation energy (kcal/mol of atoms) = -28.65
- excess energy over the best structure of this formula in the dataset (meV/atom) = 0
- calculated volume (Å³ per cell) = 157

***

Question: Which value of calculated volume does entry 5 give?
Answer: 364 Å³ per cell

***

Question: What is the formula in the eighth record?
Answer: Ba2CaTlO

***

Question: What is the calculated volume in the second record?
Answer: 76 Å³ per cell